[1]
5
Lattice="4.364 0.000 0.000 0.000 4.364 0.000 0.000 0.000 4.364" Properties=species:S:1:pos:R:3 comment="NbFe3Mo PBE-GGA optimized geometry" mass_density_g_cm3=7.12 total_energy_ev_per_cell=-39.460 formation_energy_ev_per_fu=6.83 relative_energy_mev_per_atom=0 pbc="T T T"
Nb 0.000 0.000 0.000
Fe 0.000 2.182 2.182
Fe 2.182 0.000 2.182
Fe 2.182 2.182 0.000
Mo 2.182 2.182 2.182

[2]
4
Lattice="1.456 0.840 10.374 -1.456 0.840 10.374 0.000 -1.681 10.374" Properties=species:S:1:pos:R:3 comment="Sc2ReAg PBE-GGA optimized geometry" mass_density_g_cm3=8.37 total_energy_ev_per_cell=-26.228 formation_energy_ev_per_fu=1.73 pbc="T T T"
Sc 0.000 0.000 2.622
Sc 0.000 0.000 28.501
Re 0.000 0.000 0.000
Ag 0.000 0.000 15.561

[3]
4
Lattice="2.979 0.000 0.000 0.000 4.242 0.000 0.000 0.000 5.579" Properties=species:S:1:pos:R:3 comment="PPtCl2 PBE-GGA optimized geometry" mass_density_g_cm3=6.99 total_energy_ev_per_cell=-12.891 formation_energy_uncorrected_ev_per_atom=0.563 relative_energy_mev_per_atom=1139 pbc="T T T"
P 0.000 0.000 0.000
Pt 1.490 0.000 2.789
Cl 0.000 2.121 2.789
Cl 1.490 2.121 0.000

[4]
4
Lattice="4.750 -1.466 0.000 4.750 1.466 0.000 -0.267 0.000 6.680" Properties=species:S:1:pos:R:3 comment="SrTa3 PBE-GGA optimized geometry" mass_density_g_cm3=11.25 total_energy_ev_per_cell=-34.256 formation_energy_ev_per_fu=2.98 pbc="T T T"
Sr 0.000 0.000 0.000
Ta 2.113 0.000 4.572
Ta 4.617 0.000 3.340
Ta 7.121 0.000 2.108